(1)
Entry from Alexandria: CsLiTl6 after structural relaxation (PBE).

```
8
Lattice="-5.1781 0.9005 0.5777 -0.2038 -3.6328 3.8365 1.9143 6.8076 6.5477" Properties=species:S:1:pos:R:3 pbc="T T T"
Tl -2.3815 -0.2657 3.2655
Tl 1.1630 2.6816 6.2446
Tl -1.0861 4.3411 7.6964
Tl 0.5476 0.4933 4.1397
Tl -1.3242 4.9483 4.6151
Tl -1.9396 2.7599 2.5103
Li 0.9572 3.4038 3.2739
Cs 0.0000 0.0000 0.0000
```

Results
Symmetry ... No. 123
Energy relative to the lowest polymorph listed for this composition ... 0.0418 eV per atom

=====

(2)
Entry from Alexandria: Tb2PtCl after structural relaxation (PBE).

```
4
Lattice="4.2444 0.0000 0.0000 2.1222 3.6758 0.0000 2.1222 1.2253 8.1730" Properties=species:S:1:pos:R:3 pbc="T T T"
Tb 6.3666 3.6757 2.6820
Tb 2.1222 1.2253 5.4910
Pt 4.2444 2.4505 4.0865
Cl 0.0000 0.0000 0.0000
```

Results
E_form (uncorrected) ... -5.4 eV per formula unit
Symmetry ... No. 166
Energy relative to the lowest polymorph listed for this composition ... 0.0000 eV per atom

=====

(3)
Entry from Alexandria: Pm5InSi3 after structural relaxation (PBE).

```
18
Lattice="6.4295 0.0000 0.0000 0.0000 9.1042 0.0000 0.0000 -4.5521 7.8836" Properties=species:S:1:pos:R:3 pbc="T T T"
In 0.0000 0.0000 0.0000
In 3.2147 0.0000 0.0000
Pm 3.2147 4.5521 2.6277
Pm 4.8221 7.7607 2.3266
Pm 4.8221 2.6867 0.0000
Pm 0.0000 4.5521 2.6277
Pm 0.0000 0.0000 5.2558
Pm 1.6074 6.4176 0.0000
Pm 4.8221 3.2086 5.5570
Pm 1.6074 1.3435 2.3266
Pm 1.6074 -3.2086 5.5570
Pm 3.2147 0.0000 5.2558
Si 4.8221 5.7598 0.0000
Si 1.6074 3.3445 0.0000
Si 1.6074 2.8802 4.9877
Si 4.8221 6.2240 4.9877
Si 4.8221 1.6719 2.8959
Si 1.6074 -1.6719 2.8959
```

Results
E_form (uncorrected) ... -4.4 eV per formula unit
Symmetry ... No. 193

=====

(4)
Entry from Alexandria: Y2TmAl2Zn2 after structural relaxation (PBE).

```
7
Lattice="4.4785 0.0000 0.0000 2.2393 3.8785 0.0000 2.2393 1.2928 9.1075" Properties=species:S:1:pos:R:3 pbc="T T T"
Y 6.7178 3.8785 3.4452
Y 2.2393 1.2928 5.6623
Al 6.7178 3.8785 7.2822
Al 2.2392 1.2928 1.8252
Zn 4.4785 2.5857 7.4525
Zn 4.4785 2.5857 1.6550
Tm 0.0000 0.0000 0.0000
```

Results
Symmetry ... No. 166

=====

(5)
Entry from Alexandria: Si23F4 after structural relaxation (PBE).

```
54
Lattice="10.0915 0.0000 0.0000 0.0000 10.0915 0.0000 0.0000 0.0000 10.0915" Properties=species:S:1:pos:R:3 pbc="T T T"
Si 5.0458 6.2008 1.8894
Si 6.8784 6.8784 3.2131
Si 5.0458 7.5686 0.0000
Si 3.8907 1.8894 5.0458
Si 7.5686 0.0000 5.0458
Si 6.9352 1.1551 0.0000
Si 0.0000 6.9352 1.1551
Si 8.2589 8.2589 8.2589
Si 0.0000 3.1563 8.9364
Si 3.2131 6.8784 6.8784
Si 0.0000 5.0458 2.5229
Si 3.1563 8.9364 0.0000
Si 1.1551 0.0000 3.1563
Si 3.2131 3.2131 6.8784
Si 8.2021 5.0458 6.2008
Si 8.2021 5.0458 3.8907
Si 6.8784 3.2131 3.2131
Si 8.2589 1.8326 1.8326
Si 3.2131 3.2131 3.2131
Si 8.2589 1.8326 8.2589
Si 0.0000 3.1563 1.1551
Si 5.0458 3.8907 1.8894
Si 1.8326 1.8326 1.8326
Si 3.8907 8.2021 5.0458
Si 1.8894 5.0458 3.8907
Si 6.2008 1.8894 5.0458
Si 8.9364 0.0000 6.9352
Si 1.8326 8.2589 1.8326
Si 8.2589 8.2589 1.8326
Si 6.2008 8.2021 5.0458
Si 3.1563 1.1551 0.0000
Si 1.1551 0.0000 6.9352
Si 0.0000 6.9352 8.9364
Si 3.2131 6.8784 3.2131
Si 5.0458 2.5229 0.0000
Si 0.0000 5.0458 7.5686
Si 6.9352 8.9364 0.0000
Si 8.9364 0.0000 3.1563
Si 6.8784 3.2131 6.8784
Si 6.8784 6.8784 6.8784
Si 5.0458 6.2008 8.2021
Si 1.8326 8.2589 8.2589
Si 5.0458 3.8907 8.2021
Si 1.8894 5.0458 6.2008
Si 2.5229 0.0000 5.0458
Si 1.8326 1.8326 8.2589
F 0.0000 0.0000 0.0000
F 5.0458 0.0000 2.5229
F 7.5686 5.0458 0.0000
F 0.0000 2.5229 5.0458
F 0.0000 7.5686 5.0458
F 5.0458 0.0000 7.5686
F 5.0458 5.0458 5.0458
F 2.5229 5.0458 0.0000
```

Results
E_form (uncorrected) ... -3.8 eV per formula unit
Symmetry ... No. 223

=====

(6)
Entry from Alexandria: NaPdAu after structural relaxation (PBE).

```
3
Lattice="-2.2498 2.4044 1.1748 -2.6488 -2.2192 -0.5306 2.9630 -1.7538 4.0615" Properties=species:S:1:pos:R:3 pbc="T T T"
Na -2.3295 -0.2946 1.3438
Pd -2.0042 -1.3465 4.1196
Au 0.3086 -0.9978 2.6330
```

Results
Symmetry ... No. 107
Energy relative to the lowest polymorph listed for this composition ... 0.2177 eV per atom

=====

(7)
Entry from Alexandria: Li12GaAg3 after structural relaxation (PBE).

```
16
Lattice="-2.8514 -2.1426 -1.9802 -1.1092 -1.7648 3.5067 -10.6916 11.8448 2.5793" Properties=species:S:1:pos:R:3 pbc="T T T"
Ga 0.0000 0.0000 0.0000
Ag -2.6638 2.9511 0.6426
Ag -8.0279 8.8937 1.9367
Ag -5.3458 5.9224 1.2897
Li -2.7453 0.3907 -0.6717
Li -5.4207 3.3546 -0.0263
Li -10.0061 6.9377 2.6995
Li -1.9803 -1.9537 0.7633
Li -7.3261 3.9687 2.0530
Li -4.5496 3.5434 2.7171
Li -1.8742 0.5795 2.0717
Li -4.6461 0.9997 1.4064
Li -9.9266 9.5004 4.0144
Li -10.7977 9.3116 1.2709
Li -7.2512 6.5365 3.3689
Li -8.1224 6.3476 0.6255
```

Results
Symmetry ... No. 123

=====

(8)
Entry from Alexandria: Sr2Zn4GaSn3 after structural relaxation (PBE).

```
10
Lattice="-4.0661 0.5498 -1.9923 -2.0635 -0.8305 3.9822 0.2952 11.2076 2.4903" Properties=species:S:1:pos:R:3 pbc="T T T"
Sn -0.9917 1.1054 2.3290
Sn -1.7780 9.9619 1.1563
Sn 0.1476 5.6038 1.2452
Sr -0.8105 7.9866 3.8580
Sr -1.9592 3.0806 -0.3727
Zn 0.0000 0.0000 0.0000
Zn -1.8464 7.3627 0.5787
Zn -3.0648 -0.1404 0.9949
Zn -0.9232 3.7046 2.9065
Ga -2.9172 5.4634 2.2401
```

Results
Symmetry ... No. 115

=====

For each record above, in turn, the calculated total magnetic moment values are 0.0 0.0 1.6 0.0 0.0 0.0 0.0 0.0 Bohr magnetons per cell.
For each record above, in turn, the calculated DFT total energy values are -2.157 -5.649 -5.240 -4.239 -5.038 -3.352 -2.301 -2.709 eV/atom.